No. 1
Computed, not measured: a relaxed Sr2Y2Cu crystal at the PBE level of DFT.

Cell lengths 7.571, 7.571, 6.288 Å; angles 90.00, 90.00, 90.00 degrees
Each line ends with the local moment (μB).
Fractional coordinates of all 10 atoms:
Sr: 0.672 0.828 0.500  0.07
Y: 0.840 0.660 0.000  0.25
Y: 0.660 0.160 0.000  0.26
Sr: 0.172 0.672 0.500  0.07
Cu: 0.500 0.500 0.000  0.03
Y: 0.160 0.340 0.000  0.25
Cu: 0.000 0.000 0.000  0.03
Sr: 0.828 0.328 0.500  0.07
Y: 0.340 0.840 0.000  0.26
Sr: 0.328 0.172 0.500  0.07

Results
N(E_F)	11.8	states/eV per cell
formation energy	0.23	eV/atom

No. 2
Computed, not measured: a relaxed SrYCu2 crystal at the PBE level of DFT.

Cell lengths 5.137, 5.137, 3.546 Å; angles 90.00, 90.00, 90.00 degrees
Fractional coordinates of all 4 atoms:
Cu: 0.000 0.000 0.000
Y: 0.000 0.500 0.500
Cu: 0.500 0.500 0.000
Sr: 0.500 0.000 0.500

Results
N(E_F)	2.9	states/eV per cell
formation energy	-0.05	eV/atom

It is found that the E values, taken in the order of the records, are -3.85, -4.13 eV per atom.